No. 1
Rb3InS3 at its PBEsol-relaxed geometry, computed with SCAN.

- Mass density: 3.36 g/cm3
- Formation energy without anion corrections: -119.9 kJ/mol of atoms
- Symmetry: C2/m (12)
- Total magnetization: 0.00 μB per formula unit

Geometry as POSCAR:
```
Rb3InS3
1.0
-3.7695 -5.5980 -3.9805
4.8552 -4.9746 4.1325
-6.3935 2.4981 4.2756
Rb S In
6 6 2
direct
0.0000 0.2562 0.7438 Rb
0.5000 0.6779 0.3221 Rb
0.5000 0.3221 0.6779 Rb
0.3542 0.1122 0.1122 Rb
0.0000 0.7438 0.2562 Rb
0.6458 0.8878 0.8878 Rb
0.2775 0.9516 0.6548 S
0.2775 0.6548 0.9516 S
0.7225 0.3452 0.0484 S
0.7225 0.0484 0.3452 S
0.1795 0.3993 0.3993 S
0.8205 0.6007 0.6007 S
0.1482 0.6773 0.6773 In
0.8518 0.3227 0.3227 In
```



No. 2
Ti5CoSb3 at its PBEsol-relaxed geometry, computed with SCAN.

- Mass density: 7.25 g/cm3
- Formation energy without anion corrections: -53.2 kJ/mol of atoms
- Symmetry: P6_3/mcm (193)
- Total magnetization: 0.00 μB per formula unit

Geometry as POSCAR:
```
Ti5CoSb3
1.0
-0.1136 5.3117 -0.7981
-7.9900 -0.3478 -1.1772
2.9423 1.1803 7.4362
Ti Sb Co
10 6 2
direct
0.2500 0.7483 0.7483 Ti
0.5000 0.3333 0.6667 Ti
0.0000 0.3333 0.6667 Ti
0.2500 0.0000 0.2517 Ti
0.2500 0.2517 0.0000 Ti
0.7500 0.2517 0.2517 Ti
0.0000 0.6667 0.3333 Ti
0.5000 0.6667 0.3333 Ti
0.7500 0.0000 0.7483 Ti
0.7500 0.7483 0.0000 Ti
0.2500 0.3900 0.3900 Sb
0.7500 0.6100 0.6100 Sb
0.2500 0.0000 0.6100 Sb
0.7500 0.0000 0.3900 Sb
0.2500 0.6100 0.0000 Sb
0.7500 0.3900 0.0000 Sb
0.5000 0.0000 0.0000 Co
0.0000 0.0000 0.0000 Co
```



No. 3
MgGa2 at its PBEsol-relaxed geometry, computed with SCAN.

- Mass density: 4.94 g/cm3
- Symmetry: P6_3/mmc (194)
- ΔE_f: -56 kJ/mol of formula units
- Total magnetization: 0.00 μB per formula unit

Geometry as POSCAR:
```
MgGa2
1.0
-0.2389 4.2690 -0.4628
-3.5113 -2.2486 1.0538
1.4826 0.8047 6.6568
Ga Mg
4 2
direct
0.6667 0.3333 0.5508 Ga
0.3333 0.6667 0.4492 Ga
0.6667 0.3333 0.9492 Ga
0.3333 0.6667 0.0508 Ga
0.0000 0.0000 0.2500 Mg
0.0000 0.0000 0.7500 Mg
```



No. 4
K2CeCl5 at its PBEsol-relaxed geometry, computed with SCAN.

- Mass density: 3.01 g/cm3
- Formation energy without anion corrections: -233.7 kJ/mol of atoms
- Symmetry: Pnma (62)
- Total magnetization: 1.00 μB per formula unit

Geometry as POSCAR:
```
K2CeCl5
1.0
7.9498 0.0000 0.0000
0.0000 8.6814 0.0000
0.0000 0.0000 12.6551
K Cl Ce
8 20 4
direct
0.9527 0.0042 0.6724 K
0.0473 0.9958 0.3276 K
0.4527 0.9958 0.8276 K
0.5473 0.0042 0.1724 K
0.5473 0.4958 0.1724 K
0.0473 0.5042 0.3276 K
0.9527 0.4958 0.6724 K
0.4527 0.5042 0.8276 K
0.9263 0.7500 0.4928 Cl
0.6331 0.2500 0.6794 Cl
0.3359 0.9565 0.5808 Cl
0.0737 0.2500 0.5072 Cl
0.8314 0.7500 0.2066 Cl
0.3359 0.5435 0.5808 Cl
0.3314 0.2500 0.2934 Cl
0.8669 0.2500 0.1794 Cl
0.8359 0.4565 0.9192 Cl
0.1686 0.2500 0.7934 Cl
0.6686 0.7500 0.7066 Cl
0.5737 0.7500 0.9928 Cl
0.1641 0.5435 0.0808 Cl
0.4263 0.2500 0.0072 Cl
0.3669 0.7500 0.3206 Cl
0.6641 0.4565 0.4192 Cl
0.8359 0.0435 0.9192 Cl
0.1331 0.7500 0.8206 Cl
0.1641 0.9565 0.0808 Cl
0.6641 0.0435 0.4192 Cl
0.0757 0.2500 0.0054 Ce
0.5757 0.7500 0.4946 Ce
0.4243 0.2500 0.5054 Ce
0.9243 0.7500 0.9946 Ce
```



No. 5
SmBRh3 at its PBEsol-relaxed geometry, computed with SCAN.

- Mass density: 10.74 g/cm3
- Symmetry: Pm-3m (221)
- ΔE_f: -402 kJ/mol of formula units
- Total magnetization: 0.22 μB per formula unit

Geometry as POSCAR:
```
SmBRh3
1.0
-1.1485 -0.1493 -4.0086
-3.9946 -0.3387 1.1571
-0.3668 4.1561 -0.0497
B Rh Sm
1 3 1
direct
0.5000 0.5000 0.5000 B
0.0000 0.5000 0.5000 Rh
0.5000 0.5000 0.0000 Rh
0.5000 0.0000 0.5000 Rh
0.0000 0.0000 0.0000 Sm
```



No. 6
MgIrRh2 at its PBEsol-relaxed geometry, computed with SCAN.

- Mass density: 12.37 g/cm3
- Symmetry: C2/m (12)
- ΔE_f: -94 kJ/mol of formula units
- Total magnetization: 0.00 μB per formula unit

Geometry as POSCAR:
```
MgIrRh2
1.0
2.7395 0.0000 0.0000
0.0000 4.6845 0.0031
-1.3698 -0.7465 4.4189
Mg Rh Ir
1 2 1
direct
0.0000 0.5000 0.0000 Mg
0.2435 0.2391 0.4869 Rh
0.7565 0.7609 0.5131 Rh
0.5000 0.0000 0.0000 Ir
```



It is found that the final energy values, taken in the order of the records, are -19.027 -23.800 -12.750 -15.061 -31.471 -36.147 eV per atom.